VASP calculation (GGA-PBE) on Ta3Si after structural relaxation.

Properties
uncorrected energy = -10.594 eV/atom
ΔE_f (raw) = -348 meV/atom

CIF file:
```
data_Ta3Si
_space_group_name_H-M_alt 'P n m a'
_space_group_IT_number 62
_space_group_name_Hall '-P 2ac 2n'
_cell_length_a 6.133
_cell_length_b 8.299
_cell_length_c 5.372
_cell_angle_alpha 90.00
_cell_angle_beta 90.00
_cell_angle_gamma 90.00
loop_
_atom_site_label
_atom_site_type_symbol
_atom_site_fract_x
_atom_site_fract_y
_atom_site_fract_z
Ta1 Ta 0.020 0.250 0.127
Ta2 Ta 0.211 0.037 0.625
Si1 Si 0.098 0.750 0.403
```

=====

VASP calculation (GGA-PBE) on Ta3Si after structural relaxation.

Properties
uncorrected energy = -10.334 eV/atom
ΔE_f (raw) = -88 meV/atom

CIF file:
```
data_Ta3Si
_space_group_name_H-M_alt 'P m m n'
_space_group_IT_number 59
_cell_length_a 4.684
_cell_length_b 5.529
_cell_length_c 5.244
_cell_angle_alpha 90.00
_cell_angle_beta 90.00
_cell_angle_gamma 90.00
loop_
_space_group_symop_operation_xyz
'x,y,z'
'-x,-y,-z'
'-x+1/2,-y+1/2,z'
'x+1/2,y+1/2,-z'
'x+1/2,-y,-z'
'-x+1/2,y,z'
'-x,y+1/2,-z'
'x,-y+1/2,z'
loop_
_atom_site_label
_atom_site_type_symbol
_atom_site_fract_x
_atom_site_fract_y
_atom_site_fract_z
Ta1 Ta 0.250 0.008 0.148
Ta2 Ta 0.250 0.750 0.621
Si1 Si 0.250 0.250 0.664
```

=====

VASP calculation (GGA-PBE) on Ta4Si after structural relaxation.

Properties
uncorrected energy = -10.677 eV/atom
ΔE_f (raw) = -110 meV/atom

CIF file:
```
data_Ta4Si
_space_group_name_H-M_alt 'I 4/m'
_space_group_IT_number 87
_space_group_name_Hall '-I 4'
_cell_length_a 7.100
_cell_length_b 7.100
_cell_length_c 3.461
_cell_angle_alpha 90.00
_cell_angle_beta 90.00
_cell_angle_gamma 90.00
loop_
_atom_site_label
_atom_site_type_symbol
_atom_site_fract_x
_atom_site_fract_y
_atom_site_fract_z
Ta1 Ta 0.094 0.296 0.000
Si1 Si 0.000 0.000 0.500
```

=====

VASP calculation (GGA-PBE) on Ta2Si after structural relaxation.

Properties
uncorrected energy = -9.105 eV/atom
ΔE_f (raw) = 605 meV/atom

CIF file:
```
data_Ta2Si
_space_group_name_H-M_alt 'P 63/m m c'
_space_group_IT_number 194
_space_group_name_Hall '-P 6c 2c'
_cell_length_a 5.4264
_cell_length_b 5.4264
_cell_length_c 8.7590
_cell_angle_alpha 90.00
_cell_angle_beta 90.00
_cell_angle_gamma 120.00
loop_
_atom_site_label
_atom_site_type_symbol
_atom_site_fract_x
_atom_site_fract_y
_atom_site_fract_z
Ta1 Ta 0.0000 0.0000 0.0000
Ta2 Ta 0.1693 0.3386 0.2500
Si1 Si 0.3333 0.6667 0.5785
```

=====

VASP calculation (GGA-PBE) on TaSi3 after structural relaxation.

Properties
uncorrected energy = -6.907 eV/atom
ΔE_f (raw) = 124 meV/atom

CIF file:
```
data_TaSi3
_space_group_name_H-M_alt 'I 4/m m m'
_space_group_IT_number 139
_space_group_name_Hall '-I 4 2'
_cell_length_a 3.738
_cell_length_b 3.738
_cell_length_c 8.426
_cell_angle_alpha 90.00
_cell_angle_beta 90.00
_cell_angle_gamma 90.00
loop_
_atom_site_label
_atom_site_type_symbol
_atom_site_fract_x
_atom_site_fract_y
_atom_site_fract_z
Ta1 Ta 0.000 0.000 0.000
Si1 Si 0.000 0.000 0.500
Si2 Si 0.000 0.500 0.250
```

=====

VASP calculation (GGA-PBE) on Ta5Si3 after structural relaxation.

Properties
uncorrected energy = -9.729 eV/atom
ΔE_f (raw) = -288 meV/atom

CIF file:
```
data_Ta5Si3
_space_group_name_H-M_alt 'C m m m'
_space_group_IT_number 65
_space_group_name_Hall '-C 2 2'
_cell_length_a 7.851
_cell_length_b 8.943
_cell_length_c 3.737
_cell_angle_alpha 90.00
_cell_angle_beta 90.00
_cell_angle_gamma 90.00
loop_
_atom_site_label
_atom_site_type_symbol
_atom_site_fract_x
_atom_site_fract_y
_atom_site_fract_z
Ta1 Ta 0.000 0.000 0.000
Ta2 Ta 0.222 0.500 0.500
Ta3 Ta 0.250 0.250 0.000
Si1 Si 0.000 0.220 0.500
Si2 Si 0.000 0.500 0.000
```

=====

VASP calculation (GGA-PBE) on Ta2Si after structural relaxation.

Properties
uncorrected energy = -10.146 eV/atom
ΔE_f (raw) = -436 meV/atom

CIF file:
```
data_Ta2Si
_space_group_name_H-M_alt 'P -6 2 m'
_space_group_IT_number 189
_space_group_name_Hall 'P -6 -2'
_cell_length_a 7.0852
_cell_length_b 7.0852
_cell_length_c 3.3993
_cell_angle_alpha 90.00
_cell_angle_beta 90.00
_cell_angle_gamma 120.00
loop_
_atom_site_label
_atom_site_type_symbol
_atom_site_fract_x
_atom_site_fract_y
_atom_site_fract_z
Ta1 Ta 0.0000 0.2625 0.0000
Ta2 Ta 0.0000 0.5966 0.5000
Si1 Si 0.0000 0.0000 0.5000
Si2 Si 0.3333 0.6667 0.0000
```

=====

VASP calculation (GGA-PBE) on Ta5Si3 after structural relaxation.

Properties
uncorrected energy = -10.062 eV/atom
ΔE_f (raw) = -620 meV/atom

CIF file:
```
data_Ta5Si3
_space_group_name_H-M_alt 'I 4/m c m'
_space_group_IT_number 140
_space_group_name_Hall '-I 4 2c'
_cell_length_a 6.552
_cell_length_b 6.552
_cell_length_c 11.946
_cell_angle_alpha 90.00
_cell_angle_beta 90.00
_cell_angle_gamma 90.00
loop_
_atom_site_label
_atom_site_type_symbol
_atom_site_fract_x
_atom_site_fract_y
_atom_site_fract_z
Ta1 Ta 0.000 0.000 0.000
Ta2 Ta 0.165 0.335 0.150
Si1 Si 0.000 0.000 0.250
Si2 Si 0.130 0.370 0.500
```

=====

VASP calculation (GGA-PBE) on Ta8Si after structural relaxation.

Properties
uncorrected energy = -11.219 eV/atom
ΔE_f (raw) = -81 meV/atom

CIF file:
```
data_Ta8Si
_space_group_name_H-M_alt 'I 4/m m m'
_space_group_IT_number 139
_space_group_name_Hall '-I 4 2'
_cell_length_a 9.637
_cell_length_b 9.637
_cell_length_c 3.442
_cell_angle_alpha 90.00
_cell_angle_beta 90.00
_cell_angle_gamma 90.00
loop_
_atom_site_label
_atom_site_type_symbol
_atom_site_fract_x
_atom_site_fract_y
_atom_site_fract_z
Ta1 Ta 0.000 0.329 0.000
Ta2 Ta 0.162 0.162 0.500
Si1 Si 0.000 0.000 0.000
```

=====

VASP calculation (GGA-PBE) on Ta2Si after structural relaxation.

Properties
uncorrected energy = -9.725 eV/atom
ΔE_f (raw) = -15 meV/atom

CIF file:
```
data_Ta2Si
_space_group_name_H-M_alt 'C m c m'
_space_group_IT_number 63
_space_group_name_Hall '-C 2c 2'
_cell_length_a 2.752
_cell_length_b 14.695
_cell_length_c 5.095
_cell_angle_alpha 90.00
_cell_angle_beta 90.00
_cell_angle_gamma 90.00
loop_
_atom_site_label
_atom_site_type_symbol
_atom_site_fract_x
_atom_site_fract_y
_atom_site_fract_z
Ta1 Ta 0.000 0.049 0.250
Ta2 Ta 0.000 0.366 0.250
Si1 Si 0.000 0.293 0.750
```

=====

VASP calculation (GGA-PBE) on TaSi3 after structural relaxation.

Properties
uncorrected energy = -6.975 eV/atom
ΔE_f (raw) = 55 meV/atom

CIF file:
```
data_TaSi3
_space_group_name_H-M_alt 'P m m n'
_space_group_IT_number 59
_cell_length_a 4.766
_cell_length_b 5.281
_cell_length_c 4.679
_cell_angle_alpha 90.00
_cell_angle_beta 90.00
_cell_angle_gamma 90.00
loop_
_space_group_symop_operation_xyz
'x,y,z'
'-x,-y,-z'
'-x+1/2,-y+1/2,z'
'x+1/2,y+1/2,-z'
'x+1/2,-y,-z'
'-x+1/2,y,z'
'-x,y+1/2,-z'
'x,-y+1/2,z'
loop_
_atom_site_label
_atom_site_type_symbol
_atom_site_fract_x
_atom_site_fract_y
_atom_site_fract_z
Ta1 Ta 0.250 0.250 0.145
Si1 Si 0.250 0.518 0.635
Si2 Si 0.250 0.750 0.134
```

=====

VASP calculation (GGA-PBE) on Ta3Si after structural relaxation.

Properties
uncorrected energy = -10.319 eV/atom
ΔE_f (raw) = -74 meV/atom

CIF file:
```
data_Ta3Si
_space_group_name_H-M_alt 'P 1 2/m 1'
_space_group_IT_number 10
_space_group_name_Hall '-P 2y'
_cell_length_a 2.882
_cell_length_b 4.637
_cell_length_c 5.182
_cell_angle_alpha 90.00
_cell_angle_beta 97.24
_cell_angle_gamma 90.00
loop_
_atom_site_label
_atom_site_type_symbol
_atom_site_fract_x
_atom_site_fract_y
_atom_site_fract_z
Ta1 Ta 0.000 0.000 0.000
Ta2 Ta 0.282 0.500 0.750
Si1 Si 0.500 0.000 0.500
```